No. 1
Re2MoSe | PBE-GGA | relaxed

Properties
Its space-group type is Cmmm (65). The calculation puts the calculated density at 14.09 g/cm3. As for the uncorrected formation energy: 56.2 kJ/mol of atoms. Its size of the total moment is 0.00 Bohr magnetons per cell.

Cell lengths 2.761, 2.761, 9.169 Å; angles 90.00, 90.00, 112.72 degrees
Element x y z (fractional)
Mo 0.500 0.500 0.750
Re 0.000 0.000 0.986
Re 0.000 0.000 0.514
Se 0.500 0.500 0.250



No. 2
TlTcRh2 | PBE-GGA | relaxed

Properties
Its space-group type is P4mm (99). The calculation puts the calculated density at 12.96 g/cm3. The calculation puts the formation energy at 0.30 eV/atom. Its size of the total moment is 0.00 Bohr magnetons per cell. The value obtained for the offset from the most stable computed form is 0.213 eV per atom.

Cell lengths 2.898, 2.898, 7.753 Å; angles 90.00, 90.00, 90.01 degrees
Element x y z (fractional)
Rh 0.000 0.000 0.014
Rh 0.500 0.500 0.260
Tc 0.000 0.000 0.471
Tl 0.500 0.500 0.754



No. 3
Ba4ScTe | PBE-GGA | relaxed

Properties
Its space-group type is F-43m (216). The calculation puts the calculated density at 4.29 g/cm3. As for the uncorrected formation energy: 26.8 kJ/mol of atoms. Its size of the total moment is 2.96 Bohr magnetons per cell.

Cell lengths 7.340, 7.340, 7.340 Å; angles 60.00, 60.00, 60.00 degrees
Element x y z (fractional)
Ba 0.876 0.375 0.375
Ba 0.375 0.375 0.876
Ba 0.375 0.876 0.375
Ba 0.375 0.375 0.375
Sc 0.750 0.750 0.750
Te 0.000 0.000 0.000



Which formula does entry 2 have? TlTcRh2